(1)
Here is a relaxed LaNbP crystal from the Alexandria database. Energies are from PBE.

Total DFT energy (no corrections) ... -7.7260 eV per atom
Calculated formation energy ... -923.6 meV per atom
Fermi-level density of states ... 3.3 states/eV/cell

Structure (extended XYZ):
```
6
Lattice="-1.410 3.501 -1.077 -2.798 -0.285 2.737 5.755 4.264 6.328" Properties=species:S:1:pos:R:3 pbc="T T T"
P 3.228 4.665 3.786
P 0.423 1.207 3.372
La 0.382 2.556 0.657
La 3.269 3.316 6.501
Nb 0.773 3.740 3.994
Nb 2.878 2.132 3.164
```

---

(2)
Here is a relaxed FeSiAs3 crystal from the Alexandria database. Energies are from PBE.

Total DFT energy (no corrections) ... -4.3271 eV per atom
Fermi-level density of states ... 12.3 states/eV/cell
Raw formation energy ... 119.6 kJ per mole of atoms

Structure (extended XYZ):
```
5
Lattice="4.662 0.000 0.000 0.000 4.662 0.000 0.000 0.000 4.662" Properties=species:S:1:pos:R:3 pbc="T T T"
As 0.000 2.331 0.000
As 0.000 0.000 2.331
As 2.331 0.000 0.000
Si 0.000 0.000 0.000
Fe 2.331 2.331 2.331
```

---

(3)
Here is a relaxed Fe2CoNi crystal from the Alexandria database. Energies are from PBE.

Total DFT energy (no corrections) ... -7.4511 eV per atom
Calculated formation energy ... 2.0 meV per atom
Fermi-level density of states ... 3.0 states/eV/cell

Structure (extended XYZ):
```
4
Lattice="-1.557 -1.672 -0.928 0.275 -0.537 2.391 -6.042 4.662 1.742" Properties=species:S:1:pos:R:3 pbc="T T T"
Ni -2.152 0.061 1.167
Co -5.173 2.392 2.038
Fe -0.006 0.005 0.002
Fe -3.015 2.326 0.869
```

---

(4)
Here is a relaxed Er8Sn2Pt crystal from the Alexandria database. Energies are from PBE.

Total DFT energy (no corrections) ... -5.1114 eV per atom
Calculated formation energy ... -516.0 meV per atom
Fermi-level density of states ... 9.1 states/eV/cell

Structure (extended XYZ):
```
11
Lattice="-2.571 -3.567 2.238 4.268 -4.518 -2.299 4.936 4.452 7.329" Properties=species:S:1:pos:R:3 pbc="T T T"
Er 5.273 -0.240 5.676
Er -0.195 -1.016 3.596
Er 3.652 -3.337 4.316
Er 3.147 -0.209 8.722
Er 2.981 -0.296 2.953
Er 6.828 -2.617 3.672
Er 1.360 -3.393 1.593
Er 3.486 -3.424 -1.454
Sn 2.055 -1.166 5.941
Sn 4.578 -2.467 1.327
Pt -1.286 -1.784 1.119
```

---

(5)
Here is a relaxed MoPdAu crystal from the Alexandria database. Energies are from PBE.

Total DFT energy (no corrections) ... -6.4150 eV per atom
Calculated formation energy ... 18.8 meV per atom
Fermi-level density of states ... 2.0 states/eV/cell

Structure (extended XYZ):
```
3
Lattice="-0.826 1.761 -2.036 -0.823 -2.194 -1.563 -4.738 0.511 4.313" Properties=species:S:1:pos:R:3 pbc="T T T"
Mo -2.743 -0.114 -0.933
Au -0.024 0.001 0.011
Pd -3.621 0.192 1.636
```

---

(6)
Here is a relaxed Zr2PtAu crystal from the Alexandria database. Energies are from PBE.

Total DFT energy (no corrections) ... -7.2219 eV per atom
Calculated formation energy ... -618.3 meV per atom
Fermi-level density of states ... 3.8 states/eV/cell

Structure (extended XYZ):
```
4
Lattice="5.384 -0.001 -0.012 2.254 4.889 0.013 -3.812 -2.455 2.905" Properties=species:S:1:pos:R:3 pbc="T T T"
Au 3.820 2.442 0.000
Pt 2.693 -0.002 1.447
Zr -1.556 2.431 2.918
Zr 1.130 2.441 1.459
```

---

(7)
Here is a relaxed SnCCl3 crystal from the Alexandria database. Energies are from PBE.

Total DFT energy (no corrections) ... -3.2356 eV per atom
Fermi-level density of states ... 1.5 states/eV/cell
Raw formation energy ... 50.0 kJ per mole of atoms

Structure (extended XYZ):
```
5
Lattice="4.130 -3.177 0.193 4.130 3.177 0.193 1.461 0.000 5.005" Properties=species:S:1:pos:R:3 pbc="T T T"
Sn 4.989 0.000 2.767
C 8.949 0.000 4.963
Cl 7.802 -1.472 5.299
Cl 9.039 0.000 3.069
Cl 7.802 1.472 5.299
```

---

(8)
Here is a relaxed U2NiS crystal from the Alexandria database. Energies are from PBE.

Total DFT energy (no corrections) ... -8.5588 eV per atom
Fermi-level density of states ... 10.0 states/eV/cell
Raw formation energy ... -42.2 kJ per mole of atoms

Structure (extended XYZ):
```
4
Lattice="-0.200 -0.805 -3.692 2.840 -1.841 -1.692 -2.005 -6.628 -0.386" Properties=species:S:1:pos:R:3 pbc="T T T"
Ni 0.317 -4.637 -2.885
S 0.000 0.000 0.000
U 0.490 -6.928 -4.334
U 0.145 -2.346 -1.436
```

---

(9)
Here is a relaxed Cu2ReRu2 crystal from the Alexandria database. Energies are from PBE.

Total DFT energy (no corrections) ... -6.8603 eV per atom
Calculated formation energy ... 978.2 meV per atom
Fermi-level density of states ... 6.5 states/eV/cell

Structure (extended XYZ):
```
5
Lattice="-1.773 1.773 5.703 1.773 -1.773 5.703 1.773 1.773 -5.703" Properties=species:S:1:pos:R:3 pbc="T T T"
Cu 0.000 0.000 6.798
Cu 0.000 0.000 4.609
Re 0.000 0.000 0.000
Ru 1.773 0.000 2.852
Ru 0.000 1.773 2.852
```

---

(10)
Here is a relaxed LiAcSi2Ni crystal from the Alexandria database. Energies are from PBE.

Total DFT energy (no corrections) ... -5.0598 eV per atom
Fermi-level density of states ... 2.9 states/eV/cell
Raw formation energy ... -51.1 kJ per mole of atoms

Structure (extended XYZ):
```
5
Lattice="4.324 0.000 0.000 0.000 4.324 0.000 -2.162 -2.162 4.900" Properties=species:S:1:pos:R:3 pbc="T T T"
Li 2.162 0.000 2.450
Ac 0.000 0.000 0.000
Si 2.162 2.162 1.229
Si 0.000 0.000 3.671
Ni 0.000 2.162 2.450
```

---

(11)
Here is a relaxed Ni2BAs crystal from the Alexandria database. Energies are from PBE.

Total DFT energy (no corrections) ... -5.4766 eV per atom
Calculated formation energy ... 245.8 meV per atom
Fermi-level density of states ... 4.0 states/eV/cell

Structure (extended XYZ):
```
8
Lattice="-1.748 1.113 3.903 1.538 -3.751 1.759 4.702 1.309 4.234" Properties=species:S:1:pos:R:3 pbc="T T T"
Ni 0.428 0.457 3.377
Ni 1.765 -1.781 2.986
Ni 3.582 -0.335 5.452
Ni 3.208 -0.999 7.976
As 0.000 0.000 0.000
As 1.424 0.552 5.484
B -0.105 -1.319 2.831
B 3.067 -1.880 4.412
```

---

(12)
Here is a relaxed InC3 crystal from the Alexandria database. Energies are from PBE.

Total DFT energy (no corrections) ... -6.7023 eV per atom
Calculated formation energy ... 900.2 meV per atom
Fermi-level density of states ... 4.3 states/eV/cell

Structure (extended XYZ):
```
16
Lattice="-0.743 -6.129 -1.688 2.928 0.914 -4.607 5.020 -1.410 2.911" Properties=species:S:1:pos:R:3 pbc="T T T"
C 5.310 -6.233 -2.988
C 3.048 -2.502 -3.406
C 4.157 -4.124 0.022
C 1.895 -0.393 -0.396
C 5.590 -4.143 0.202
C 0.507 0.001 -0.473
C 4.517 -6.014 -4.176
C 3.796 -3.095 -2.321
C 1.615 -2.483 -3.586
C 6.698 -6.626 -2.911
C 2.688 -0.612 0.792
C 3.409 -3.530 -1.063
In 5.905 -3.655 -2.765
In 3.056 -0.107 -2.259
In 4.149 -6.518 -1.124
In 1.300 -2.971 -0.619
```

---

(13)
Here is a relaxed CsIrO2 crystal from the Alexandria database. Energies are from PBE.

Total DFT energy (no corrections) ... -5.5738 eV per atom
Fermi-level density of states ... 0.0 states/eV/cell
Raw formation energy ... -64.3 kJ per mole of atoms

Structure (extended XYZ):
```
4
Lattice="2.607 5.855 3.226 3.766 2.513 5.567 5.925 3.489 2.049" Properties=species:S:1:pos:R:3 pbc="T T T"
Cs 6.149 5.928 5.421
Ir 0.000 0.000 0.000
O 11.246 10.842 9.914
O 1.053 1.015 0.928
```

---

(14)
Here is a relaxed La2VPN crystal from the Alexandria database. Energies are from PBE.

Total DFT energy (no corrections) ... -6.7412 eV per atom
Fermi-level density of states ... 3.2 states/eV/cell
Raw formation energy ... -19.2 kJ per mole of atoms

Structure (extended XYZ):
```
5
Lattice="-2.635 -3.981 1.931 3.298 -1.977 0.424 0.551 1.935 4.741" Properties=species:S:1:pos:R:3 pbc="T T T"
P 1.649 -0.989 0.212
N 0.000 0.000 0.000
V 0.607 -2.012 3.548
La 0.275 0.967 2.370
La -1.318 -1.990 0.965
```

---

(15)
Here is a relaxed Zr2NbVH crystal from the Alexandria database. Energies are from PBE.

Total DFT energy (no corrections) ... -7.9237 eV per atom
Fermi-level density of states ... 7.1 states/eV/cell

Structure (extended XYZ):
```
5
Lattice="4.733 0.000 0.000 0.000 4.733 0.000 0.000 0.000 3.565" Properties=species:S:1:pos:R:3 pbc="T T T"
H 0.000 0.000 0.000
Nb 2.367 2.367 1.782
Zr 0.000 2.367 0.000
Zr 2.367 0.000 0.000
V 0.000 0.000 1.782
```

---

(16)
Here is a relaxed ZrCo3 crystal from the Alexandria database. Energies are from PBE.

Total DFT energy (no corrections) ... -7.7167 eV per atom
Calculated formation energy ... -250.3 meV per atom
Fermi-level density of states ... 35.8 states/eV/cell

Structure (extended XYZ):
```
24
Lattice="-0.621 0.843 -4.701 -3.759 -1.246 2.740 -2.804 15.309 3.117" Properties=species:S:1:pos:R:3 pbc="T T T"
Zr -3.187 8.448 -0.530
Zr -2.832 0.097 0.391
Zr -3.997 6.458 1.686
Zr -4.353 14.809 0.765
Zr -3.770 11.629 0.117
Zr -3.414 3.277 1.039
Co -1.191 2.003 -0.724
Co -1.500 2.422 -3.061
Co -3.369 1.802 -1.699
Co -5.297 9.106 1.107
Co -4.989 8.687 3.444
Co -3.119 9.307 2.082
Co -5.684 12.484 4.217
Co -5.993 12.903 1.880
Co -3.815 13.104 2.855
Co -2.195 6.219 -2.288
Co -1.887 5.799 0.049
Co -4.065 5.599 -0.926
Co -2.368 3.974 -1.441
Co -4.816 10.932 2.597
Co -0.701 3.827 0.779
Co -2.103 11.482 2.338
Co 0.000 0.000 0.000
Co -1.402 7.654 1.559
```

---

(17)
Here is a relaxed Ti5CuSb2 crystal from the Alexandria database. Energies are from PBE.

Total DFT energy (no corrections) ... -6.8687 eV per atom
Fermi-level density of states ... 21.3 states/eV/cell
Raw formation energy ... -37.8 kJ per mole of atoms

Structure (extended XYZ):
```
16
Lattice="7.828 0.001 0.000 -6.143 4.851 0.000 -0.842 -2.426 7.394" Properties=species:S:1:pos:R:3 pbc="T T T"
Ti -0.136 2.766 2.132
Ti 0.979 -0.340 5.262
Ti 3.914 0.001 3.697
Ti -3.072 2.426 3.697
Ti 2.857 1.727 1.036
Ti -2.014 0.699 6.358
Ti 5.813 0.700 1.036
Ti 0.979 -0.340 2.132
Ti -4.971 1.726 6.358
Ti -0.136 2.766 5.262
Cu 1.263 3.639 0.000
Cu 0.421 1.213 0.000
Sb -2.650 3.639 1.272
Sb -1.201 0.417 3.697
Sb 3.493 -1.213 6.123
Sb 2.043 2.009 3.697
```

---

(18)
Here is a relaxed ZrTaBr crystal from the Alexandria database. Energies are from PBE.

Total DFT energy (no corrections) ... -7.1881 eV per atom
Fermi-level density of states ... 1.5 states/eV/cell
Raw formation energy ... 16.4 kJ per mole of atoms

Structure (extended XYZ):
```
3
Lattice="-6.230 0.135 -4.991 -6.687 -3.512 -2.584 5.294 2.814 5.272" Properties=species:S:1:pos:R:3 pbc="T T T"
Br -0.478 -0.125 -0.280
Zr -8.587 -2.245 -5.036
Ta -3.852 -1.007 -2.259
```

---

(19)
Here is a relaxed MgTlSb2Au crystal from the Alexandria database. Energies are from PBE.

Total DFT energy (no corrections) ... -2.9463 eV per atom
Fermi-level density of states ... 3.2 states/eV/cell
Raw formation energy ... 14.5 kJ per mole of atoms

Structure (extended XYZ):
```
5
Lattice="5.503 0.000 0.000 0.000 5.088 0.000 0.000 0.000 5.503" Properties=species:S:1:pos:R:3 pbc="T T T"
Sb 0.000 0.000 2.752
Sb 2.752 0.000 0.000
Tl 2.752 2.544 2.752
Au 0.000 0.000 0.000
Mg 0.000 2.544 0.000
```

---

(20)
Here is a relaxed PuTh8Fe2 crystal from the Alexandria database. Energies are from PBE.

Total DFT energy (no corrections) ... -8.1174 eV per atom
Calculated formation energy ... 120.4 meV per atom
Fermi-level density of states ... 14.8 states/eV/cell

Structure (extended XYZ):
```
11
Lattice="6.409 -0.302 1.240 0.855 6.941 3.021 -0.277 1.308 7.500" Properties=species:S:1:pos:R:3 pbc="T T T"
Fe 3.528 5.710 8.073
Fe 3.459 2.236 3.687
Th 5.602 6.724 6.784
Th 1.975 4.159 2.641
Th 4.838 7.120 10.178
Th 2.149 0.826 1.582
Th 5.011 3.787 9.119
Th 1.385 1.222 4.976
Th 1.842 4.578 6.224
Th 5.144 3.368 5.536
Pu 0.000 0.000 0.000
```